[1]
Crystalline Be2TeAs at its relaxed geometry. Source: Alexandria, functional GGA-PBEsol.

a b c (Å): 3.5987 3.5987 5.7032
angles (deg): 90.00 90.00 90.00
Positions (direct):
Be 0.0000 0.5000 0.0000
Be 0.5000 0.0000 0.0000
Te 0.0000 0.0000 0.7008
As 0.5000 0.5000 0.2452

Calculated values
The density of states at the Fermi level is 1.250 states/eV/f.u. Its energy relative to the elements, uncorrected is -3 kJ/mol of atoms. The total magnetic moment is 0.0 μB/cell. The relative energy among the computed polymorphs comes out at 0.042 eV per atom. The calculation puts the total DFT energy (no corrections) at -4.1849 eV per atom.



[2]
Crystalline Be2TeAs at its relaxed geometry. Source: Alexandria, functional GGA-PBEsol.

a b c (Å): 6.6321 6.6321 6.6321
angles (deg): 132.95 132.95 68.73
Positions (direct):
Be 0.0925 0.6250 0.9675
Be 0.3750 0.3425 0.4675
Be 0.6575 0.1250 0.0325
Be 0.8750 0.9075 0.5325
Te 0.2500 0.7500 0.5000
Te 0.5000 0.5000 0.0000
As 0.0000 0.0000 0.0000
As 0.7500 0.2500 0.5000

Calculated values
The density of states at the Fermi level is 1.916 states/eV/f.u. Its energy relative to the elements, uncorrected is -7 kJ/mol of atoms. The total magnetic moment is 0.0 μB/cell. The relative energy among the computed polymorphs comes out at 0.000 eV per atom. The calculation puts the total DFT energy (no corrections) at -4.2268 eV per atom.



[3]
Crystalline BeTlAs at its relaxed geometry. Source: Alexandria, functional GGA-PBEsol.

a b c (Å): 3.8130 3.8130 4.9629
angles (deg): 90.00 90.00 120.00
Positions (direct):
Be 0.0000 0.0000 0.0000
Tl 0.3333 0.6667 0.5000
As 0.6667 0.3333 0.0000

Calculated values
The density of states at the Fermi level is 0.456 states/eV/f.u. The value obtained for the formation enthalpy at 0 K is -21 meV/atom. The total magnetic moment is 0.0 μB/cell. The calculation puts the total DFT energy (no corrections) at -3.9335 eV per atom.



[4]
Crystalline BeAsW2 at its relaxed geometry. Source: Alexandria, functional GGA-PBEsol.

a b c (Å): 4.7897 4.7897 4.7897
angles (deg): 134.27 134.27 66.67
Positions (direct):
Be 0.0000 0.0000 0.0000
As 0.2500 0.7500 0.5000
W 0.5000 0.5000 0.0000
W 0.7500 0.2500 0.5000

Calculated values
The density of states at the Fermi level is 2.178 states/eV/f.u. The value obtained for the formation enthalpy at 0 K is 372 meV/atom. The total magnetic moment is 0.0 μB/cell. The relative energy among the computed polymorphs comes out at 0.103 eV per atom. The calculation puts the total DFT energy (no corrections) at -8.8088 eV per atom.



[5]
Crystalline BeAsW2 at its relaxed geometry. Source: Alexandria, functional GGA-PBEsol.

a b c (Å): 4.5037 4.5037 4.5001
angles (deg): 97.53 97.53 39.40
Positions (direct):
Be 0.0000 0.0000 0.0000
As 0.5000 0.5000 0.5000
W 0.2534 0.2534 0.7643
W 0.7466 0.7466 0.2357

Calculated values
The density of states at the Fermi level is 1.968 states/eV/f.u. The value obtained for the formation enthalpy at 0 K is 341 meV/atom. The total magnetic moment is 0.0 μB/cell. The relative energy among the computed polymorphs comes out at 0.073 eV per atom. The calculation puts the total DFT energy (no corrections) at -8.8392 eV per atom.



[6]
Crystalline BeAsW at its relaxed geometry. Source: Alexandria, functional GGA-PBEsol.

a b c (Å): 4.2978 4.2978 2.6367
angles (deg): 90.00 90.00 120.00
Positions (direct):
Be 0.0000 0.0000 0.0000
As 0.6667 0.3333 0.2773
W 0.3333 0.6667 0.4322

Calculated values
The density of states at the Fermi level is 1.000 states/eV/f.u. The value obtained for the formation enthalpy at 0 K is 465 meV/atom. The total magnetic moment is 0.0 μB/cell. The calculation puts the total DFT energy (no corrections) at -7.1729 eV per atom.



[7]
Crystalline BeAsW2 at its relaxed geometry. Source: Alexandria, functional GGA-PBEsol.

a b c (Å): 3.9612 4.6984 4.6984
angles (deg): 38.09 90.00 90.00
Positions (direct):
Be 0.0000 0.0000 0.0000
As 0.5000 0.1535 0.1535
W 0.0000 0.7315 0.7315
W 0.5000 0.4314 0.4314

Calculated values
The density of states at the Fermi level is 3.245 states/eV/f.u. The value obtained for the formation enthalpy at 0 K is 268 meV/atom. The total magnetic moment is 0.0 μB/cell. The relative energy among the computed polymorphs comes out at 0.000 eV per atom. The calculation puts the total DFT energy (no corrections) at -8.9120 eV per atom.



[8]
Crystalline YBe2As at its relaxed geometry. Source: Alexandria, functional GGA-PBEsol.

a b c (Å): 3.2171 3.2171 6.0626
angles (deg): 90.00 90.00 90.00
Positions (direct):
Y 0.0000 0.0000 0.0000
Be 0.0000 0.0000 0.5153
Be 0.5000 0.5000 0.6785
As 0.5000 0.5000 0.3175

Calculated values
The density of states at the Fermi level is 2.729 states/eV/f.u. The value obtained for the formation enthalpy at 0 K is -15 meV/atom. The total magnetic moment is 0.1 μB/cell. The calculation puts the total DFT energy (no corrections) at -4.9973 eV per atom.